No. 1
{"formula": "TbPr2Er3Se6", "functional": "PBE", "state": "optimized geometry", "total_magnetization_mub_per_atom": 0.000, "crystal_system": "monoclinic", "sg": "No. 12", "lattice": [[-2.009, -3.012, -1.872], [-1.586, -3.543, 7.403], [-5.976, 7.069, -0.526]], "species": ["Tb", "Pr", "Pr", "Er", "Er", "Er", "Se", "Se", "Se", "Se", "Se", "Se"], "frac_coords": [[0.500, 0.000, 0.000], [0.832, 0.664, 0.664], [0.168, 0.336, 0.336], [0.500, 0.500, 0.000], [0.830, 0.166, 0.660], [0.170, 0.834, 0.340], [0.334, 0.931, 0.667], [0.661, 0.595, 0.323], [0.666, 0.069, 0.333], [0.995, 0.251, 0.989], [0.005, 0.749, 0.011], [0.339, 0.405, 0.677]]}

=====

No. 2
{"formula": "CaSi2W", "functional": "PBE", "state": "optimized geometry", "total_magnetization_mub_per_atom": 0.000, "polymorph_energy_ev_per_fu": 0.56, "crystal_system": "orthorhombic", "sg": "No. 38", "lattice": [[3.777, 0.000, 0.000], [0.000, 3.567, -0.001], [0.000, 1.784, 5.098]], "species": ["Ca", "Si", "Si", "W"], "frac_coords": [[0.500, 0.779, 0.816], [0.000, 0.185, 0.005], [0.500, 0.048, 0.279], [0.000, 0.488, 0.399]]}

=====

No. 3
{"formula": "Na3Cr3CoS8", "functional": "PBE", "state": "optimized geometry", "total_magnetization_mub_per_atom": 0.529, "crystal_system": "trigonal", "sg": "No. 166", "lattice": [[6.971, 0.000, 0.000], [-3.485, 6.034, -0.024], [0.000, -4.000, 6.648]], "species": ["Na", "Na", "Na", "Cr", "Cr", "Cr", "Co", "S", "S", "S", "S", "S", "S", "S", "S"], "frac_coords": [[0.000, 0.000, 0.000], [0.000, 0.500, 0.000], [0.500, 0.500, 0.000], [0.500, 0.000, 0.500], [0.500, 0.500, 0.500], [0.000, 0.500, 0.500], [0.000, 0.000, 0.500], [0.267, 0.535, 0.302], [0.733, 0.465, 0.698], [0.776, 0.552, 0.311], [0.224, 0.448, 0.689], [0.776, 0.035, 0.311], [0.224, 0.965, 0.689], [0.259, 0.035, 0.311], [0.741, 0.965, 0.689]]}

=====

no.,raw total energy (Ry/atom)
1,-0.428
2,-0.475
3,-0.415